[1]
! TmLuCo2 (SCAN, single point on PBEsol structure); values from VASP
&SYSTEM
  ibrav = 0, nat = 4, ntyp = 3
/
ATOMIC_SPECIES
Tm 168.93 Tm.upf
Lu 174.97 Lu.upf
Co 58.93 Co.upf
CELL_PARAMETERS angstrom
0.000 3.209 3.209
3.209 0.000 3.209
3.209 3.209 0.000
ATOMIC_POSITIONS crystal
Tm 0.000 0.000 0.000
Lu 0.500 0.500 0.500
Co 0.250 0.250 0.250
Co 0.750 0.750 0.750
! Formation energy (eV per atom): -0.286
! Fermi-level density of states (states/eV/f.u.): 1.7
! Magnetic moment (μB/atom): 0.261

---

[2]
! Sb2S3O12 (SCAN, single point on PBEsol structure); values from VASP
&SYSTEM
  ibrav = 0, nat = 34, ntyp = 3
/
ATOMIC_SPECIES
Sb 121.76 Sb.upf
S 32.06 S.upf
O 16.00 O.upf
CELL_PARAMETERS angstrom
4.653 2.686 7.278
-4.653 2.686 7.278
0.000 -5.373 7.278
ATOMIC_POSITIONS crystal
Sb 0.136 0.136 0.136
Sb 0.358 0.358 0.358
Sb 0.642 0.642 0.642
Sb 0.864 0.864 0.864
S 0.013 0.486 0.744
S 0.256 0.987 0.514
S 0.486 0.744 0.013
S 0.514 0.256 0.987
S 0.744 0.013 0.486
S 0.987 0.514 0.256
O 0.002 0.378 0.194
O 0.096 0.310 0.851
O 0.114 0.522 0.556
O 0.149 0.904 0.690
O 0.173 0.502 0.220
O 0.194 0.002 0.378
O 0.220 0.173 0.502
O 0.310 0.851 0.096
O 0.378 0.194 0.002
O 0.444 0.886 0.478
O 0.478 0.444 0.886
O 0.498 0.780 0.827
O 0.502 0.220 0.173
O 0.522 0.556 0.114
O 0.556 0.114 0.522
O 0.622 0.806 0.998
O 0.690 0.149 0.904
O 0.780 0.827 0.498
O 0.806 0.998 0.622
O 0.827 0.498 0.780
O 0.851 0.096 0.310
O 0.886 0.478 0.444
O 0.904 0.690 0.149
O 0.998 0.622 0.806
! Formation energy (no corrections) (eV per formula unit): -24.5
! Fermi-level density of states (states/eV/f.u.): 0.0
! Relative energy among the computed polymorphs (eV/atom): 0.0044
! Magnetic moment (μB/atom): 0.000

---

[3]
! AuCBr2Cl (SCAN, single point on PBEsol structure); values from VASP
&SYSTEM
  ibrav = 0, nat = 5, ntyp = 4
/
ATOMIC_SPECIES
Au 196.97 Au.upf
C 12.01 C.upf
Br 79.90 Br.upf
Cl 35.45 Cl.upf
CELL_PARAMETERS angstrom
5.413 0.000 0.000
0.000 5.413 0.000
0.000 0.000 3.828
ATOMIC_POSITIONS crystal
Au 0.000 0.000 0.000
C 0.000 0.000 0.500
Br 0.000 0.500 0.000
Br 0.500 0.000 0.000
Cl 0.500 0.500 0.500
! Formation energy (no corrections) (eV per formula unit): 5.5
! Fermi-level density of states (states/eV/f.u.): 3.9
! Magnetic moment (μB/atom): 0.269

---

[4]
! PrBrO (SCAN, single point on PBEsol structure); values from VASP
&SYSTEM
  ibrav = 0, nat = 6, ntyp = 3
/
ATOMIC_SPECIES
Pr 140.91 Pr.upf
Br 79.90 Br.upf
O 16.00 O.upf
CELL_PARAMETERS angstrom
4.077 0.000 0.000
0.000 4.077 0.000
0.000 0.000 7.293
ATOMIC_POSITIONS crystal
Pr 0.250 0.250 0.162
Pr 0.750 0.750 0.838
Br 0.250 0.250 0.634
Br 0.750 0.750 0.366
O 0.250 0.750 0.000
O 0.750 0.250 0.000
! Formation energy (no corrections) (eV per formula unit): -9.5
! Fermi-level density of states (states/eV/f.u.): 0.0
! Magnetic moment (μB/atom): 0.000

---

> Which formula does entry 1 have?

TmLuCo2

---

> What is the magnetic moment in the fourth record?

0.000 μB/atom

---

Please write out number 1 again, unchanged.
! TmLuCo2 (SCAN, single point on PBEsol structure); values from VASP
&SYSTEM
  ibrav = 0, nat = 4, ntyp = 3
/
ATOMIC_SPECIES
Tm 168.93 Tm.upf
Lu 174.97 Lu.upf
Co 58.93 Co.upf
CELL_PARAMETERS angstrom
0.000 3.209 3.209
3.209 0.000 3.209
3.209 3.209 0.000
ATOMIC_POSITIONS crystal
Tm 0.000 0.000 0.000
Lu 0.500 0.500 0.500
Co 0.250 0.250 0.250
Co 0.750 0.750 0.750
! Formation energy (eV per atom): -0.286
! Fermi-level density of states (states/eV/f.u.): 1.7
! Magnetic moment (μB/atom): 0.261

---

What did the fourth record say?
! PrBrO (SCAN, single point on PBEsol structure); values from VASP
&SYSTEM
  ibrav = 0, nat = 6, ntyp = 3
/
ATOMIC_SPECIES
Pr 140.91 Pr.upf
Br 79.90 Br.upf
O 16.00 O.upf
CELL_PARAMETERS angstrom
4.077 0.000 0.000
0.000 4.077 0.000
0.000 0.000 7.293
ATOMIC_POSITIONS crystal
Pr 0.250 0.250 0.162
Pr 0.750 0.750 0.838
Br 0.250 0.250 0.634
Br 0.750 0.750 0.366
O 0.250 0.750 0.000
O 0.750 0.250 0.000
! Formation energy (no corrections) (eV per formula unit): -9.5
! Fermi-level density of states (states/eV/f.u.): 0.0
! Magnetic moment (μB/atom): 0.000